No. 1
A relaxed NaZrCu2Te4 crystal, computed with PBE.

The structure in extended XYZ format:
```
8
Lattice="-4.179 3.985 3.127 0.854 0.857 6.945 2.286 6.434 1.751" Properties=species:S:1:pos:R:3 pbc="T T T"
Te -0.021 8.336 6.301
Na 0.000 0.000 0.000
Cu -1.675 8.053 8.185
Te 1.241 3.960 7.240
Te -0.362 5.489 3.149
Zr -0.519 5.638 5.911
Cu 0.636 3.224 3.637
Te -2.934 4.768 6.956
```

Calculated values
ρ in Mg/m³: 5.0
DFT total energy in eV per atom: -4.144
E_form (uncorrected) in eV per atom: -0.315
Density of states at the Fermi level in states/eV per cell: 3.53

=====

No. 2
A relaxed NaThCu4 crystal, computed with PBE.

The structure in extended XYZ format:
```
6
Lattice="5.240 0.000 0.000 2.620 4.538 0.000 2.620 1.513 4.279" Properties=species:S:1:pos:R:3 pbc="T T T"
Na 2.620 1.513 1.070
Cu 3.954 3.768 2.664
Cu 5.240 3.025 0.564
Cu 5.240 1.540 2.664
Th 0.000 0.000 0.000
Cu 6.526 3.768 2.664
```

Calculated values
ρ in Mg/m³: 8.3
DFT total energy in eV per atom: -4.169
ΔE_f in eV per atom: 0.018
Density of states at the Fermi level in states/eV per cell: 2.56

=====

No. 3
A relaxed NaTi2Cu2 crystal, computed with PBE.

The structure in extended XYZ format:
```
10
Lattice="-3.307 4.896 5.190 1.393 -5.167 5.762 2.356 1.126 0.440" Properties=species:S:1:pos:R:3 pbc="T T T"
Ti 0.260 1.436 2.904
Ti 0.182 -0.581 8.487
Na -0.957 -0.135 5.476
Cu 0.062 -1.224 2.804
Ti 1.575 -2.063 4.815
Ti -1.133 2.918 6.577
Cu -1.912 2.411 4.074
Na 0.000 0.000 0.000
Cu -0.002 -2.682 6.878
Cu -1.976 0.954 8.148
```

Calculated values
ρ in Mg/m³: 5.0
Offset from the most stable computed form in eV per atom: 0.006
DFT total energy in eV per atom: -4.860
ΔE_f in eV per atom: 0.200
Density of states at the Fermi level in states/eV per cell: 7.50

=====

No. 4
A relaxed NaTi3Cu crystal, computed with PBE.

The structure in extended XYZ format:
```
5
Lattice="4.650 0.000 0.000 0.000 4.650 0.000 0.000 0.000 4.650" Properties=species:S:1:pos:R:3 pbc="T T T"
Ti 2.325 0.000 0.000
Cu 2.325 2.325 2.325
Na 0.000 0.000 0.000
Ti 0.000 2.325 0.000
Ti 0.000 0.000 2.325
```

Calculated values
ρ in Mg/m³: 3.8
DFT total energy in eV per atom: -4.032
ΔE_f in eV per atom: 1.788
Density of states at the Fermi level in states/eV per cell: 6.85

=====

No. 5
A relaxed NaTi2Cu2 crystal, computed with PBE.

The structure in extended XYZ format:
```
10
Lattice="7.986 0.000 0.000 0.000 7.986 0.000 0.000 0.000 2.601" Properties=species:S:1:pos:R:3 pbc="T T T"
Cu 5.329 6.650 1.300
Ti 5.003 1.010 0.000
Cu 6.650 2.657 1.300
Ti 6.976 5.003 0.000
Ti 2.983 6.976 0.000
Na 3.993 3.993 0.000
Na 0.000 0.000 0.000
Cu 1.336 5.329 1.300
Cu 2.657 1.336 1.300
Ti 1.010 2.983 0.000
```

Calculated values
ρ in Mg/m³: 4.9
Offset from the most stable computed form in eV per atom: 0.000
DFT total energy in eV per atom: -4.866
ΔE_f in eV per atom: 0.194
Density of states at the Fermi level in states/eV per cell: 9.76

=====

No. 6
A relaxed Na3TiCu crystal, computed with PBE.

The structure in extended XYZ format:
```
5
Lattice="5.305 0.000 0.000 0.000 5.305 0.000 0.000 0.000 5.305" Properties=species:S:1:pos:R:3 pbc="T T T"
Na 2.653 0.000 0.000
Cu 0.000 0.000 0.000
Na 0.000 0.000 2.653
Na 0.000 2.653 0.000
Ti 2.653 2.653 2.653
```

Calculated values
ρ in Mg/m³: 2.0
Offset from the most stable computed form in eV per atom: 0.000
DFT total energy in eV per atom: -2.191
ΔE_f in eV per atom: 0.999
Density of states at the Fermi level in states/eV per cell: 5.79

=====

No. 7
A relaxed NaTiCu2 crystal, computed with PBE.

The structure in extended XYZ format:
```
4
Lattice="0.000 3.159 3.159 3.159 0.000 3.159 3.159 3.159 0.000" Properties=species:S:1:pos:R:3 pbc="T T T"
Cu 1.579 1.579 1.579
Cu 4.738 4.738 4.738
Na 0.000 0.000 0.000
Ti 3.159 3.159 3.159
```

Calculated values
ρ in Mg/m³: 5.2
Offset from the most stable computed form in eV per atom: 0.000
DFT total energy in eV per atom: -3.980
ΔE_f in eV per atom: 0.372
Density of states at the Fermi level in states/eV per cell: 5.09

=====

No. 8
A relaxed NaTiCu2 crystal, computed with PBE.

The structure in extended XYZ format:
```
8
Lattice="7.122 0.000 0.000 0.000 7.122 0.000 3.561 3.561 2.780" Properties=species:S:1:pos:R:3 pbc="T T T"
Cu 5.342 5.216 2.085
Cu 1.655 5.342 0.695
Na 3.561 3.561 0.000
Cu 5.467 1.781 0.695
Ti 7.122 3.561 1.390
Ti 0.000 0.000 0.000
Cu 8.903 9.028 2.085
Na 3.561 7.122 1.390
```

Calculated values
ρ in Mg/m³: 4.7
Offset from the most stable computed form in eV per atom: 0.293
DFT total energy in eV per atom: -3.687
ΔE_f in eV per atom: 0.665
Density of states at the Fermi level in states/eV per cell: 15.06

=====

What did the first record say?
A relaxed NaZrCu2Te4 crystal, computed with PBE.

The structure in extended XYZ format:
```
8
Lattice="-4.179 3.985 3.127 0.854 0.857 6.945 2.286 6.434 1.751" Properties=species:S:1:pos:R:3 pbc="T T T"
Te -0.021 8.336 6.301
Na 0.000 0.000 0.000
Cu -1.675 8.053 8.185
Te 1.241 3.960 7.240
Te -0.362 5.489 3.149
Zr -0.519 5.638 5.911
Cu 0.636 3.224 3.637
Te -2.934 4.768 6.956
```

Calculated values
ρ in Mg/m³: 5.0
DFT total energy in eV per atom: -4.144
E_form (uncorrected) in eV per atom: -0.315
Density of states at the Fermi level in states/eV per cell: 3.53

=====

Repeat the third record exactly.
A relaxed NaTi2Cu2 crystal, computed with PBE.

The structure in extended XYZ format:
```
10
Lattice="-3.307 4.896 5.190 1.393 -5.167 5.762 2.356 1.126 0.440" Properties=species:S:1:pos:R:3 pbc="T T T"
Ti 0.260 1.436 2.904
Ti 0.182 -0.581 8.487
Na -0.957 -0.135 5.476
Cu 0.062 -1.224 2.804
Ti 1.575 -2.063 4.815
Ti -1.133 2.918 6.577
Cu -1.912 2.411 4.074
Na 0.000 0.000 0.000
Cu -0.002 -2.682 6.878
Cu -1.976 0.954 8.148
```

Calculated values
ρ in Mg/m³: 5.0
Offset from the most stable computed form in eV per atom: 0.006
DFT total energy in eV per atom: -4.860
ΔE_f in eV per atom: 0.200
Density of states at the Fermi level in states/eV per cell: 7.50